Entry 1:
! Zn2CdNi2 (meta-GGA SCAN, PBEsol geometry); values from VASP
&SYSTEM
  ibrav = 0, nat = 10, ntyp = 3
/
ATOMIC_SPECIES
Ni 58.69 Ni.upf
Zn 65.41 Zn.upf
Cd 112.41 Cd.upf
CELL_PARAMETERS angstrom
-2.654 -0.289 0.472
1.374 -1.839 6.606
-0.384 6.706 1.947
ATOMIC_POSITIONS crystal
Ni 0.500 0.667 0.833
Ni 0.500 0.833 0.333
Ni 0.500 0.167 0.667
Ni 0.500 0.333 0.167
Zn 0.000 0.871 0.629
Zn 0.000 0.629 0.129
Zn 0.000 0.371 0.871
Zn 0.000 0.129 0.371
Cd 0.000 0.000 0.000
Cd 0.000 0.500 0.500
! E_form in eV per formula unit: -0.38

***

Entry 2:
! ZnCd3Ni (meta-GGA SCAN, PBEsol geometry); values from VASP
&SYSTEM
  ibrav = 0, nat = 5, ntyp = 3
/
ATOMIC_SPECIES
Ni 58.69 Ni.upf
Cd 112.41 Cd.upf
Zn 65.41 Zn.upf
CELL_PARAMETERS angstrom
-0.593 -4.813 -0.267
3.530 -0.251 -3.326
3.282 -0.600 3.529
ATOMIC_POSITIONS crystal
Ni 0.000 0.000 0.000
Cd 0.000 0.500 0.000
Cd 0.000 0.000 0.500
Cd 0.500 0.000 0.000
Zn 0.500 0.500 0.500
! E_form in eV per formula unit: 2.00

***

Entry 3:
! Zn2CdNi (meta-GGA SCAN, PBEsol geometry); values from VASP
&SYSTEM
  ibrav = 0, nat = 4, ntyp = 3
/
ATOMIC_SPECIES
Ni 58.69 Ni.upf
Cd 112.41 Cd.upf
Zn 65.41 Zn.upf
CELL_PARAMETERS angstrom
-0.566 -2.207 -1.845
-2.635 -1.894 3.075
-2.771 2.642 -2.309
ATOMIC_POSITIONS crystal
Ni 0.500 0.500 0.500
Cd 0.500 0.000 0.000
Zn 0.000 0.000 0.500
Zn 0.000 0.500 0.000
! E_form in eV per formula unit: 0.30

***

Entry 4:
! Zr2CdNi (meta-GGA SCAN, PBEsol geometry); values from VASP
&SYSTEM
  ibrav = 0, nat = 4, ntyp = 3
/
ATOMIC_SPECIES
Zr 91.22 Zr.upf
Ni 58.69 Ni.upf
Cd 112.41 Cd.upf
CELL_PARAMETERS angstrom
3.177 0.000 0.000
0.000 4.923 -0.005
0.000 -1.568 4.667
ATOMIC_POSITIONS crystal
Zr 0.000 0.500 0.000
Zr 0.000 0.000 0.500
Ni 0.500 0.500 0.500
Cd 0.500 0.000 0.000
! E_form in eV per formula unit: -0.33

***

Entry 5:
! Zr2CdNi (meta-GGA SCAN, PBEsol geometry); values from VASP
&SYSTEM
  ibrav = 0, nat = 4, ntyp = 3
/
ATOMIC_SPECIES
Zr 91.22 Zr.upf
Cd 112.41 Cd.upf
Ni 58.69 Ni.upf
CELL_PARAMETERS angstrom
3.049 0.000 0.000
1.524 2.640 0.000
1.524 0.880 9.325
ATOMIC_POSITIONS crystal
Zr 0.739 0.739 0.782
Zr 0.261 0.261 0.218
Cd 0.500 0.500 0.500
Ni 0.000 0.000 0.000
! E_form in eV per formula unit: 0.06

***

Entry 6:
! Zr2CdNi (meta-GGA SCAN, PBEsol geometry); values from VASP
&SYSTEM
  ibrav = 0, nat = 4, ntyp = 3
/
ATOMIC_SPECIES
Ni 58.69 Ni.upf
Zr 91.22 Zr.upf
Cd 112.41 Cd.upf
CELL_PARAMETERS angstrom
4.044 0.000 0.000
0.000 4.044 0.000
-2.022 -2.022 4.444
ATOMIC_POSITIONS crystal
Ni 0.250 0.750 0.500
Zr 0.000 0.000 0.000
Zr 0.750 0.250 0.500
Cd 0.500 0.500 0.000
! E_form in eV per formula unit: -0.15

***

Entry 7:
! ZrCdNi2 (meta-GGA SCAN, PBEsol geometry); values from VASP
&SYSTEM
  ibrav = 0, nat = 4, ntyp = 3
/
ATOMIC_SPECIES
Cd 112.41 Cd.upf
Ni 58.69 Ni.upf
Zr 91.22 Zr.upf
CELL_PARAMETERS angstrom
-2.229 1.123 1.443
1.295 -2.233 3.738
3.347 3.642 -0.544
ATOMIC_POSITIONS crystal
Cd 0.267 0.800 0.534
Ni 0.728 0.268 0.456
Ni 0.018 0.979 0.035
Zr 0.488 0.452 0.975
! E_form in eV per formula unit: -0.45

***

Entry 8:
! Zr2CdNi (meta-GGA SCAN, PBEsol geometry); values from VASP
&SYSTEM
  ibrav = 0, nat = 4, ntyp = 3
/
ATOMIC_SPECIES
Zr 91.22 Zr.upf
Cd 112.41 Cd.upf
Ni 58.69 Ni.upf
CELL_PARAMETERS angstrom
4.183 0.000 0.000
0.000 4.183 0.000
-2.092 -2.092 4.129
ATOMIC_POSITIONS crystal
Zr 0.250 0.750 0.500
Zr 0.750 0.250 0.500
Cd 0.500 0.500 0.000
Ni 0.000 0.000 0.000
! E_form in eV per formula unit: -0.36

***

Entry 9:
! Zr2CdNi (meta-GGA SCAN, PBEsol geometry); values from VASP
&SYSTEM
  ibrav = 0, nat = 4, ntyp = 3
/
ATOMIC_SPECIES
Zr 91.22 Zr.upf
Cd 112.41 Cd.upf
Ni 58.69 Ni.upf
CELL_PARAMETERS angstrom
3.224 0.074 0.000
-0.074 3.224 0.000
0.000 0.000 7.111
ATOMIC_POSITIONS crystal
Zr 0.000 0.000 0.045
Zr 0.500 0.500 0.752
Cd 0.000 0.000 0.464
Ni 0.500 0.500 0.239
! E_form in eV per formula unit: -0.81

***

Entry 10:
! ZrCdNi (meta-GGA SCAN, PBEsol geometry); values from VASP
&SYSTEM
  ibrav = 0, nat = 3, ntyp = 3
/
ATOMIC_SPECIES
Ni 58.69 Ni.upf
Zr 91.22 Zr.upf
Cd 112.41 Cd.upf
CELL_PARAMETERS angstrom
-1.347 -1.444 -2.405
0.753 -1.607 2.557
-5.797 1.253 2.494
ATOMIC_POSITIONS crystal
Ni 0.333 0.667 0.656
Zr 0.667 0.333 0.372
Cd 0.000 0.000 0.972
! E_form in eV per formula unit: 0.18

***

Entry 11:
! ZrCd2Ni (meta-GGA SCAN, PBEsol geometry); values from VASP
&SYSTEM
  ibrav = 0, nat = 4, ntyp = 3
/
ATOMIC_SPECIES
Zr 91.22 Zr.upf
Ni 58.69 Ni.upf
Cd 112.41 Cd.upf
CELL_PARAMETERS angstrom
-2.438 1.348 -0.364
-2.542 -3.822 2.869
1.973 4.285 2.654
ATOMIC_POSITIONS crystal
Zr 0.500 0.500 0.500
Ni 0.500 0.000 0.000
Cd 0.000 0.000 0.500
Cd 0.000 0.500 0.000
! E_form in eV per formula unit: 0.66

***

Entry 12:
! ZrCdNi2 (meta-GGA SCAN, PBEsol geometry); values from VASP
&SYSTEM
  ibrav = 0, nat = 4, ntyp = 3
/
ATOMIC_SPECIES
Cd 112.41 Cd.upf
Ni 58.69 Ni.upf
Zr 91.22 Zr.upf
CELL_PARAMETERS angstrom
-1.568 0.288 -3.045
3.044 -1.585 -1.718
-1.121 -4.428 2.099
ATOMIC_POSITIONS crystal
Cd 0.776 0.500 0.551
Ni 0.052 0.500 0.105
Ni 0.199 0.000 0.397
Zr 0.483 0.000 0.965
! E_form in eV per formula unit: -0.92

***

Entry 13:
! ZrCdNi (meta-GGA SCAN, PBEsol geometry); values from VASP
&SYSTEM
  ibrav = 0, nat = 6, ntyp = 3
/
ATOMIC_SPECIES
Cd 112.41 Cd.upf
Zr 91.22 Zr.upf
Ni 58.69 Ni.upf
CELL_PARAMETERS angstrom
-0.836 2.588 1.808
-3.459 0.191 -1.872
-2.863 -6.239 4.656
ATOMIC_POSITIONS crystal
Cd 0.706 0.750 0.412
Cd 0.294 0.250 0.588
Zr 0.914 0.750 0.828
Zr 0.086 0.250 0.172
Ni 0.455 0.250 0.909
Ni 0.545 0.750 0.091
! E_form in eV per formula unit: -1.27

***

Entry 14:
! Zr2CdNi (meta-GGA SCAN, PBEsol geometry); values from VASP
&SYSTEM
  ibrav = 0, nat = 4, ntyp = 3
/
ATOMIC_SPECIES
Zr 91.22 Zr.upf
Cd 112.41 Cd.upf
Ni 58.69 Ni.upf
CELL_PARAMETERS angstrom
-0.638 -1.586 -2.444
1.179 -2.429 1.267
-7.306 -1.907 3.144
ATOMIC_POSITIONS crystal
Zr 0.000 0.000 0.212
Zr 0.000 0.000 0.788
Cd 0.500 0.500 0.500
Ni 0.500 0.500 0.000
! E_form in eV per formula unit: -0.97

***

Entry 15:
! Cd5P3O13 (meta-GGA SCAN, PBEsol geometry); values from VASP
&SYSTEM
  ibrav = 0, nat = 42, ntyp = 3
/
ATOMIC_SPECIES
O 16.00 O.upf
Cd 112.41 Cd.upf
P 30.97 P.upf
CELL_PARAMETERS angstrom
6.544 0.000 0.000
0.000 9.460 0.000
0.000 -4.730 8.192
ATOMIC_POSITIONS crystal
O 0.250 0.534 0.125
O 0.439 0.339 0.261
O 0.250 0.590 0.466
O 0.561 0.079 0.339
O 0.061 0.339 0.260
O 0.250 0.875 0.410
O 0.250 0.161 0.665
O 0.939 0.661 0.739
O 0.439 0.739 0.079
O 0.750 0.665 0.504
O 0.750 0.839 0.335
O 0.939 0.261 0.921
O 0.061 0.740 0.079
O 0.561 0.260 0.921
O 0.061 0.921 0.661
O 0.750 0.496 0.161
O 0.750 0.125 0.590
O 0.750 0.410 0.534
O 0.250 0.000 0.000
O 0.250 0.335 0.496
O 0.250 0.504 0.839
O 0.750 0.466 0.875
O 0.561 0.661 0.740
O 0.439 0.921 0.661
O 0.750 0.000 0.000
O 0.939 0.079 0.339
Cd 0.000 0.333 0.667
Cd 0.499 0.333 0.667
Cd 0.500 0.667 0.333
Cd 0.250 0.992 0.235
Cd 0.250 0.765 0.757
Cd 0.750 0.008 0.765
Cd 0.750 0.757 0.992
Cd 0.750 0.235 0.243
Cd 0.250 0.243 0.008
Cd 0.999 0.667 0.333
P 0.250 0.399 0.374
P 0.750 0.601 0.626
P 0.250 0.976 0.601
P 0.750 0.024 0.399
P 0.750 0.374 0.976
P 0.250 0.626 0.024
! Formation energy without anion corrections in meV/atom: -1939

***

Entry 16:
! Cd3P2O8 (meta-GGA SCAN, PBEsol geometry); values from VASP
&SYSTEM
  ibrav = 0, nat = 52, ntyp = 3
/
ATOMIC_SPECIES
P 30.97 P.upf
O 16.00 O.upf
Cd 112.41 Cd.upf
CELL_PARAMETERS angstrom
7.662 0.000 0.000
0.000 9.557 -0.047
0.000 -2.823 9.130
ATOMIC_POSITIONS crystal
P 0.795 0.318 0.318
P 0.250 0.314 0.814
P 0.205 0.682 0.682
P 0.705 0.818 0.818
P 0.250 0.814 0.314
P 0.750 0.686 0.186
P 0.295 0.182 0.182
P 0.750 0.186 0.686
O 0.373 0.603 0.603
O 0.417 0.407 0.873
O 0.773 0.345 0.679
O 0.083 0.373 0.907
O 0.417 0.873 0.407
O 0.796 0.158 0.327
O 0.796 0.327 0.158
O 0.227 0.655 0.321
O 0.627 0.397 0.397
O 0.083 0.907 0.373
O 0.204 0.842 0.673
O 0.583 0.127 0.593
O 0.273 0.155 0.821
O 0.296 0.173 0.342
O 0.273 0.821 0.155
O 0.227 0.321 0.655
O 0.296 0.342 0.173
O 0.773 0.679 0.345
O 0.204 0.673 0.842
O 0.727 0.179 0.845
O 0.471 0.116 0.116
O 0.727 0.845 0.179
O 0.029 0.616 0.616
O 0.583 0.593 0.127
O 0.971 0.384 0.384
O 0.704 0.827 0.658
O 0.917 0.093 0.627
O 0.529 0.884 0.884
O 0.873 0.897 0.897
O 0.127 0.103 0.103
O 0.704 0.658 0.827
O 0.917 0.627 0.093
Cd 0.057 0.186 0.468
Cd 0.557 0.032 0.314
Cd 0.443 0.686 0.968
Cd 0.057 0.468 0.186
Cd 0.000 0.892 0.108
Cd 0.943 0.814 0.532
Cd 0.500 0.608 0.392
Cd 0.943 0.532 0.814
Cd 0.557 0.314 0.032
Cd 0.443 0.968 0.686
Cd 0.000 0.108 0.892
Cd 0.500 0.392 0.608
! Formation energy without anion corrections in meV/atom: -2046

***

Entry 17:
! Rb2CdP2O7 (meta-GGA SCAN, PBEsol geometry); values from VASP
&SYSTEM
  ibrav = 0, nat = 48, ntyp = 4
/
ATOMIC_SPECIES
Rb 85.47 Rb.upf
P 30.97 P.upf
O 16.00 O.upf
Cd 112.41 Cd.upf
CELL_PARAMETERS angstrom
-2.237 -2.289 4.314
-4.063 -6.958 -5.798
12.959 -8.592 1.230
ATOMIC_POSITIONS crystal
Rb 0.785 0.345 0.425
Rb 0.768 0.017 0.612
Rb 0.215 0.845 0.075
Rb 0.215 0.655 0.575
Rb 0.785 0.155 0.925
Rb 0.232 0.983 0.388
Rb 0.232 0.517 0.888
Rb 0.768 0.483 0.112
P 0.255 0.254 0.587
P 0.739 0.777 0.227
P 0.261 0.223 0.773
P 0.261 0.277 0.273
P 0.255 0.246 0.087
P 0.739 0.723 0.727
P 0.745 0.746 0.413
P 0.745 0.754 0.913
O 0.521 0.821 0.718
O 0.988 0.793 0.712
O 0.244 0.162 0.676
O 0.467 0.713 0.420
O 0.095 0.121 0.101
O 0.533 0.287 0.580
O 0.095 0.379 0.601
O 0.845 0.659 0.982
O 0.845 0.841 0.482
O 0.012 0.293 0.788
O 0.467 0.787 0.920
O 0.155 0.341 0.018
O 0.479 0.179 0.282
O 0.533 0.213 0.080
O 0.299 0.099 0.831
O 0.756 0.662 0.824
O 0.905 0.621 0.399
O 0.479 0.321 0.782
O 0.521 0.679 0.218
O 0.299 0.401 0.331
O 0.012 0.207 0.288
O 0.701 0.901 0.169
O 0.988 0.707 0.212
O 0.905 0.879 0.899
O 0.701 0.599 0.669
O 0.244 0.338 0.176
O 0.756 0.838 0.324
O 0.155 0.159 0.518
Cd 0.760 0.116 0.187
Cd 0.240 0.616 0.313
Cd 0.240 0.884 0.813
Cd 0.760 0.384 0.687
! Formation energy without anion corrections in meV/atom: -2365

***

Entry 18:
! RbCdPO2 (meta-GGA SCAN, PBEsol geometry); values from VASP
&SYSTEM
  ibrav = 0, nat = 5, ntyp = 4
/
ATOMIC_SPECIES
Cd 112.41 Cd.upf
Rb 85.47 Rb.upf
O 16.00 O.upf
P 30.97 P.upf
CELL_PARAMETERS angstrom
4.157 0.000 0.000
0.000 4.157 0.000
0.000 0.000 6.410
ATOMIC_POSITIONS crystal
Cd 0.500 0.500 0.500
Rb 0.000 0.000 0.000
O 0.500 0.000 0.000
O 0.000 0.500 0.000
P 0.000 0.000 0.500
! Formation energy without anion corrections in meV/atom: 1078

***

Entry 19:
! CdPRuO2 (meta-GGA SCAN, PBEsol geometry); values from VASP
&SYSTEM
  ibrav = 0, nat = 5, ntyp = 4
/
ATOMIC_SPECIES
O 16.00 O.upf
P 30.97 P.upf
Cd 112.41 Cd.upf
Ru 101.07 Ru.upf
CELL_PARAMETERS angstrom
3.733 0.000 0.000
0.000 3.733 0.000
0.000 0.000 5.152
ATOMIC_POSITIONS crystal
O 0.000 0.500 0.000
O 0.500 0.000 0.000
P 0.000 0.000 0.500
Cd 0.500 0.500 0.500
Ru 0.000 0.000 0.000
! Formation energy without anion corrections in meV/atom: -474

***

Entry 20:
! CdPSO2 (meta-GGA SCAN, PBEsol geometry); values from VASP
&SYSTEM
  ibrav = 0, nat = 5, ntyp = 4
/
ATOMIC_SPECIES
P 30.97 P.upf
Cd 112.41 Cd.upf
S 32.06 S.upf
O 16.00 O.upf
CELL_PARAMETERS angstrom
3.664 0.000 0.000
0.000 3.664 0.000
0.000 0.000 4.710
ATOMIC_POSITIONS crystal
P 0.000 0.000 0.500
Cd 0.500 0.500 0.500
S 0.000 0.000 0.000
O 0.000 0.500 0.000
O 0.500 0.000 0.000
! Formation energy without anion corrections in meV/atom: 37

***

Entry 21:
! CdPS2O (meta-GGA SCAN, PBEsol geometry); values from VASP
&SYSTEM
  ibrav = 0, nat = 5, ntyp = 4
/
ATOMIC_SPECIES
P 30.97 P.upf
S 32.06 S.upf
Cd 112.41 Cd.upf
O 16.00 O.upf
CELL_PARAMETERS angstrom
4.876 0.000 0.000
0.000 4.876 0.000
0.000 0.000 4.989
ATOMIC_POSITIONS crystal
P 0.000 0.000 0.500
S 0.500 0.000 0.000
S 0.000 0.500 0.000
Cd 0.000 0.000 0.000
O 0.500 0.500 0.500
! Formation energy without anion corrections in meV/atom: 1475

***

Entry 22:
! CdP2SeO (meta-GGA SCAN, PBEsol geometry); values from VASP
&SYSTEM
  ibrav = 0, nat = 5, ntyp = 4
/
ATOMIC_SPECIES
O 16.00 O.upf
Se 78.96 Se.upf
P 30.97 P.upf
Cd 112.41 Cd.upf
CELL_PARAMETERS angstrom
3.672 0.000 0.000
0.000 4.883 0.000
0.000 0.000 4.883
ATOMIC_POSITIONS crystal
O 0.500 0.000 0.000
Se 0.000 0.000 0.000
P 0.000 0.000 0.500
P 0.000 0.500 0.000
Cd 0.500 0.500 0.500
! Formation energy without anion corrections in meV/atom: 490